Computed, not measured: crystalline RbBaS2 at its relaxed geometry at the PBE level of DFT.

a = 7.8127 Å, b = 7.8127 Å, c = 7.8127 Å
α = 90.00°, β = 90.00°, γ = 90.00°
Space group Fm-3m (No. 225)
One atom of each set of equivalent atoms:
Rb (0.0000, 0.0000, 0.0000)
Ba (0.0000, 0.0000, 0.5000)
S (0.2500, 0.2500, 0.2500)

Computed properties:
Formation energy without anion corrections in meV/atom: -1162
Crystal system: cubic